Compound: ScV3H
Source: Alexandria via LeMat-Bulk
Functional: PBE
Structure: relaxed

The structure in POSCAR format:
```
ScV3H
1.0
4.679 0.000 0.000
0.000 4.679 0.000
0.000 0.000 4.679
Sc V H
1 3 1
direct
0.000 0.000 0.000 Sc
0.000 0.000 0.500 V
0.000 0.500 0.000 V
0.500 0.000 0.000 V
0.500 0.500 0.500 H
```

- Fermi-level density of states: 7.00 states/eV/f.u.
- Space group: Pm-3m, No. 221
- E above lowest polymorph: 2.1035 eV/atom